Density functional theory data (PBE with a Hubbard U) for FeSe3O after structural relaxation.

The structure in CIF format:
```
data_FeSe3O
_chemical_formula_sum 'Fe1 Se3 O1'
_cell_length_a 4.478
_cell_length_b 4.478
_cell_length_c 4.478
_cell_angle_alpha 90.00
_cell_angle_beta 90.00
_cell_angle_gamma 90.00
_space_group_name_H-M_alt 'P m -3 m'
_space_group_IT_number 221
_space_group_name_Hall '-P 4 2 3'
loop_
_atom_site_label
_atom_site_type_symbol
_atom_site_fract_x
_atom_site_fract_y
_atom_site_fract_z
Fe1 Fe 0.000 0.000 0.000
Se1 Se 0.000 0.500 0.500
O1 O 0.500 0.500 0.500
```

Computed properties:
- polymorph energy (0 for the lowest one) (eV per atom) = 0.000
- ρ (g cm⁻³) = 5.7
- magnetization (μB per cell) = 4.2